Here is crystalline Sc6Ga2Ag at its relaxed geometry from the Alexandria database. Energies are from PBE-GGA.

Calculated values
Its total DFT energy (no corrections) is -99.3 eV/cell. The calculated volume is 191.0 Å³/f.u. The formation energy from the elements comes out at -29.81 kJ/mol of atoms. For the density of states at the Fermi level, the calculation gives 11.412 states/eV/f.u.

a b c (Å): 9.1082 9.1082 4.6056
angles (deg): 90.00 90.00 90.00
Last column: nearest neighbours and their distance in Å.
Space group P4_2/mnm (No. 136)
Symmetry-distinct sites (fractional):
1 Sc 0.0224 0.3206 0.0000  3 Ga 2.91-3.03, 1 Ag 2.93, 3 Sc 3.20
2 Sc 0.1297 0.8703 0.5000  2 Ag 2.85, 4 Ga 3.11-3.15
3 Ga 0.2040 0.2040 0.5000  10 Sc 2.91-3.15
4 Ag 0.0000 0.0000 0.0000  8 Sc 2.85-2.93